(1)
The following is a PBE-GGA calculation of an optimized crystal structure of Cs6NaHg, from the Alexandria database.

abc: 11.4943 11.4943 5.3870
angles: 90.00 90.00 96.14
Closest atoms and distances in Å follow each position.
Atoms (fractional coordinates):
Cs: 0.7806 0.5324 0.0000  2 Hg 4.10, 1 Na 4.52
Cs: 0.0856 0.9144 0.5000  2 Na 4.88, 6 Cs 5.01-5.39
Cs: 0.4676 0.2194 0.0000  2 Hg 4.10, 1 Na 4.52
Cs: 0.3484 0.6516 0.0000  10 Cs 5.14-5.39
Cs: 0.0822 0.3498 0.5000  1 Hg 3.98, 2 Na 4.28
Cs: 0.6502 0.9178 0.5000  1 Hg 3.98, 2 Na 4.28
Hg: 0.7375 0.2625 0.5000  2 Na 3.29
Na: 0.8480 0.1520 0.0000  2 Hg 3.29

Calculated values
Symmetry: Amm2 (38)
N(E_F): 7.15 states/eV/f.u.
ΔH_f (0 K): -0.05 eV per atom
Spin magnetization: 0.000 μB per atom
Calculated density: 2.40 g cm⁻³

(2)
The following is a PBE-GGA calculation of an optimized crystal structure of Li2LaCu, from the Alexandria database.

abc: 4.8660 4.8660 4.8660
angles: 60.00 60.00 60.00
Closest atoms and distances in Å follow each position.
Atoms (fractional coordinates):
Li: 0.2500 0.2500 0.2500  4 La 2.98, 4 Cu 2.98
Li: 0.7500 0.7500 0.7500  4 La 2.98, 4 Cu 2.98
Cu: 0.0000 0.0000 0.0000  8 Li 2.98
La: 0.5000 0.5000 0.5000  8 Li 2.98

Calculated values
Symmetry: Fm-3m (225)
N(E_F): 4.22 states/eV/f.u.
ΔH_f (0 K): 0.20 eV per atom
Spin magnetization: 0.470 μB per atom
Calculated density: 4.41 g cm⁻³

(3)
The following is a PBE-GGA calculation of an optimized crystal structure of Mn2CoMo, from the Alexandria database.

abc: 3.6010 3.6694 3.6694
angles: 90.00 90.00 90.00
Closest atoms and distances in Å follow each position.
Atoms (fractional coordinates):
Mn: 0.0000 0.0000 0.0000  4 Co 2.57, 4 Mo 2.57, 4 Mn 2.59
Mn: 0.0000 0.5000 0.5000  4 Mo 2.57, 4 Co 2.57, 4 Mn 2.59
Mo: 0.5000 0.5000 0.0000  8 Mn 2.57, 4 Co 2.59
Co: 0.5000 0.0000 0.5000  8 Mn 2.57, 4 Mo 2.59

Calculated values
Symmetry: P4/mmm (123)
N(E_F): 4.14 states/eV/f.u.
ΔH_f (0 K): 0.07 eV per atom
Spin magnetization: 0.603 μB per atom
Calculated density: 9.07 g cm⁻³

(4)
The following is a PBE-GGA calculation of an optimized crystal structure of GdThRuAu, from the Alexandria database.

abc: 5.0806 5.0806 5.0806
angles: 60.00 60.00 60.00
Closest atoms and distances in Å follow each position.
Atoms (fractional coordinates):
Ru: 0.7500 0.7500 0.7500  4 Th 3.11, 4 Gd 3.11
Gd: 0.0000 0.0000 0.0000  4 Ru 3.11, 4 Au 3.11
Th: 0.5000 0.5000 0.5000  4 Ru 3.11, 4 Au 3.11
Au: 0.2500 0.2500 0.2500  4 Gd 3.11, 4 Th 3.11

Calculated values
Symmetry: F-43m (216)
N(E_F): 3.92 states/eV/f.u.
ΔH_f (0 K): -0.48 eV per atom
Spin magnetization: 1.779 μB per atom
Calculated density: 12.31 g cm⁻³

(5)
The following is a PBE-GGA calculation of an optimized crystal structure of Ca2Zn3AgGe4, from the Alexandria database.

abc: 4.2848 4.2848 10.9392
angles: 90.00 90.00 90.00
Closest atoms and distances in Å follow each position.
Atoms (fractional coordinates):
Ge: 0.5000 0.5000 0.0000  4 Zn 2.61
Ge: 0.5000 0.0000 0.6409  3 Zn 2.43-2.64, 2 Ag 2.64
Ge: 0.0000 0.5000 0.3591  3 Zn 2.43-2.64, 2 Ag 2.64
Ge: 0.0000 0.0000 0.0000  4 Zn 2.61
Zn: 0.5000 0.0000 0.8631  5 Ge 2.43-2.61
Zn: 0.0000 0.5000 0.1369  5 Ge 2.43-2.61
Zn: 0.0000 0.0000 0.5000  4 Ge 2.64
Ca: 0.5000 0.0000 0.2543  8 Ge 3.24-3.51, 6 Zn 3.29-3.44, 2 Ag 3.44
Ca: 0.0000 0.5000 0.7457  8 Ge 3.24-3.51, 6 Zn 3.29-3.44, 2 Ag 3.44
Ag: 0.5000 0.5000 0.5000  4 Ge 2.64

Calculated values
Symmetry: P-4m2 (115)
N(E_F): 3.58 states/eV/f.u.
ΔH_f (0 K): -0.31 eV per atom
Spin magnetization: 0.000 μB per atom
Calculated density: 5.58 g cm⁻³

(6)
The following is a PBE-GGA calculation of an optimized crystal structure of AlReTeAu2, from the Alexandria database.

abc: 5.2070 5.3419 5.2070
angles: 90.00 90.00 90.00
Closest atoms and distances in Å follow each position.
Atoms (fractional coordinates):
Te: 0.0000 0.0000 0.0000  4 Au 2.60, 2 Al 2.67
Au: 0.0000 0.0000 0.5000  2 Te 2.60
Au: 0.5000 0.0000 0.0000  2 Te 2.60
Re: 0.5000 0.5000 0.5000  4 Al 3.68, 8 Au 3.73
Al: 0.0000 0.5000 0.0000  2 Te 2.67

Calculated values
Symmetry: P4/mmm (123)
N(E_F): 3.46 states/eV/f.u.
Spin magnetization: 0.875 μB per atom
Calculated density: 8.42 g cm⁻³
E_form (uncorrected): 1.689 eV per atom

(7)
The following is a PBE-GGA calculation of an optimized crystal structure of La2Ga4IrRh3, from the Alexandria database.

abc: 4.3630 4.3630 10.1028
angles: 90.00 90.00 90.00
Closest atoms and distances in Å follow each position.
Atoms (fractional coordinates):
Ga: 0.0000 0.5000 0.3747  3 Rh 2.51-2.52, 2 Ir 2.52
Ga: 0.0000 0.0000 0.0000  4 Rh 2.53
Ga: 0.5000 0.5000 0.0000  4 Rh 2.53
Ga: 0.5000 0.0000 0.6253  3 Rh 2.51-2.52, 2 Ir 2.52
Rh: 0.0000 0.0000 0.5000  4 Ga 2.52
Rh: 0.0000 0.5000 0.1263  5 Ga 2.51-2.53
Rh: 0.5000 0.0000 0.8737  5 Ga 2.51-2.53
Ir: 0.5000 0.5000 0.5000  4 Ga 2.52
La: 0.5000 0.0000 0.2626  2 Ir 3.24, 6 Rh 3.24-3.38, 8 Ga 3.29-3.43
La: 0.0000 0.5000 0.7375  6 Rh 3.24-3.38, 2 Ir 3.24, 8 Ga 3.29-3.43

Calculated values
Symmetry: P-4m2 (115)
N(E_F): 7.47 states/eV/f.u.
ΔH_f (0 K): -0.80 eV per atom
Spin magnetization: 0.000 μB per atom
Calculated density: 9.13 g cm⁻³

(8)
The following is a PBE-GGA calculation of an optimized crystal structure of CrFeAg2, from the Alexandria database.

abc: 2.8160 3.9780 5.7440
angles: 90.00 90.00 90.00
Closest atoms and distances in Å follow each position.
Atoms (fractional coordinates):
Ag: 0.0000 0.0000 0.9947  4 Ag 2.81-2.93, 4 Fe 2.81, 4 Cr 2.84
Ag: 0.0000 0.0000 0.5053  4 Ag 2.81-2.93, 4 Fe 2.81, 4 Cr 2.84
Fe: 0.5000 0.5000 0.7500  8 Ag 2.81, 2 Fe 2.82, 2 Cr 2.87
Cr: 0.5000 0.5000 0.2500  2 Cr 2.82, 8 Ag 2.84, 2 Fe 2.87

Calculated values
Symmetry: Pmmm (47)
N(E_F): 4.62 states/eV/f.u.
ΔH_f (0 K): 0.57 eV per atom
Spin magnetization: 1.715 μB per atom
Calculated density: 8.35 g cm⁻³

(9)
The following is a PBE-GGA calculation of an optimized crystal structure of PrSm15Tl4, from the Alexandria database.

abc: 4.9501 4.9501 25.3647
angles: 90.00 90.00 90.00
Closest atoms and distances in Å follow each position.
Atoms (fractional coordinates):
Sm: 0.0000 0.5000 0.3040  4 Tl 3.49-3.51, 8 Sm 3.50-3.51
Sm: 0.5000 0.0000 0.3040  4 Tl 3.49-3.51, 8 Sm 3.50-3.51
Sm: 0.5000 0.0000 0.5000  8 Sm 3.50-3.51, 4 Tl 3.50
Sm: 0.5000 0.0000 0.6960  4 Tl 3.49-3.51, 8 Sm 3.50-3.51
Sm: 0.5000 0.5000 0.0000  4 Pr 3.50, 8 Sm 3.67
Sm: 0.0000 0.5000 0.6960  4 Tl 3.49-3.51, 8 Sm 3.50-3.51
Sm: 0.0000 0.5000 0.1067  8 Sm 3.50-3.67, 2 Tl 3.55, 2 Pr 3.67
Sm: 0.5000 0.5000 0.2065  8 Sm 3.50-3.54, 4 Tl 3.50
Sm: 0.5000 0.5000 0.7935  8 Sm 3.50-3.54, 4 Tl 3.50
Sm: 0.5000 0.5000 0.5982  4 Tl 3.50, 8 Sm 3.51
Sm: 0.0000 0.5000 0.8933  8 Sm 3.50-3.67, 2 Tl 3.55, 2 Pr 3.67
Sm: 0.5000 0.5000 0.4018  4 Tl 3.50, 8 Sm 3.51
Sm: 0.5000 0.0000 0.8933  8 Sm 3.50-3.67, 2 Tl 3.55, 2 Pr 3.67
Sm: 0.5000 0.0000 0.1067  8 Sm 3.50-3.67, 2 Tl 3.55, 2 Pr 3.67
Sm: 0.0000 0.5000 0.5000  8 Sm 3.50-3.51, 4 Tl 3.50
Tl: 0.0000 0.0000 0.5976  12 Sm 3.50-3.51
Tl: 0.0000 0.0000 0.2069  12 Sm 3.49-3.55
Tl: 0.0000 0.0000 0.4024  12 Sm 3.50-3.51
Tl: 0.0000 0.0000 0.7931  12 Sm 3.49-3.55
Pr: 0.0000 0.0000 0.0000  12 Sm 3.50-3.67

Calculated values
Symmetry: P4/mmm (123)
N(E_F): 29.32 states/eV/f.u.
ΔH_f (0 K): -0.15 eV per atom
Spin magnetization: 0.000 μB per atom
Calculated density: 8.59 g cm⁻³

(10)
The following is a PBE-GGA calculation of an optimized crystal structure of CdAg2Te, from the Alexandria database.

abc: 5.6066 5.6066 8.7979
angles: 71.42 71.42 90.00
Closest atoms and distances in Å follow each position.
Atoms (fractional coordinates):
Cd: 0.2500 0.7500 0.5000  4 Ag 2.87
Cd: 0.5000 0.5000 0.0000  4 Ag 2.87
Ag: 0.8750 0.9025 0.7500  2 Te 2.72, 2 Cd 2.87
Ag: 0.6525 0.1250 0.2500  2 Te 2.72, 2 Cd 2.87
Ag: 0.0975 0.6250 0.2500  2 Te 2.72, 2 Cd 2.87
Ag: 0.3750 0.3475 0.7500  2 Te 2.72, 2 Cd 2.87
Te: 0.7500 0.2500 0.5000  4 Ag 2.72
Te: 0.0000 0.0000 0.0000  4 Ag 2.72

Calculated values
Symmetry: I-42d (122)
N(E_F): 0.00 states/eV/f.u.
Spin magnetization: 0.000 μB per atom
Calculated density: 6.13 g cm⁻³
E_form (uncorrected): 0.135 eV per atom

(11)
The following is a PBE-GGA calculation of an optimized crystal structure of Hf3NbGa4, from the Alexandria database.

abc: 5.6461 5.6405 9.0707
angles: 90.00 90.00 90.00
Closest atoms and distances in Å follow each position.
Atoms (fractional coordinates):
Hf: 0.4370 0.2613 0.2502  8 Ga 2.81-3.07, 2 Nb 2.99-3.01, 2 Hf 3.06-3.08
Hf: 0.7279 0.0426 0.0000  8 Ga 2.77-3.08, 4 Hf 3.06-3.08
Hf: 0.9370 0.7387 0.2498  8 Ga 2.81-3.07, 2 Nb 2.99-3.01, 2 Hf 3.06-3.08
Hf: 0.2279 0.9574 0.5000  8 Ga 2.77-3.08, 4 Hf 3.06-3.08
Hf: 0.9370 0.7387 0.7502  8 Ga 2.81-3.07, 2 Nb 2.99-3.01, 2 Hf 3.06-3.08
Hf: 0.4370 0.2613 0.7498  8 Ga 2.81-3.07, 2 Nb 2.99-3.01, 2 Hf 3.06-3.08
Ga: 0.6637 0.5306 0.0000  2 Ga 2.74, 6 Hf 2.78-3.02, 2 Nb 2.81-2.88
Ga: 0.9383 0.2421 0.7269  2 Ga 2.72-2.74, 5 Hf 2.81-2.97
Ga: 0.9383 0.2421 0.2731  2 Ga 2.72-2.74, 5 Hf 2.81-2.97
Ga: 0.4383 0.7579 0.7731  2 Ga 2.72-2.74, 5 Hf 2.81-2.97
Ga: 0.7153 0.0204 0.5000  2 Ga 2.72, 4 Hf 2.77-3.04, 2 Nb 2.80-2.88
Ga: 0.4383 0.7579 0.2269  2 Ga 2.72-2.74, 5 Hf 2.81-2.97
Ga: 0.2153 0.9796 0.0000  2 Ga 2.72, 4 Hf 2.77-3.04, 2 Nb 2.80-2.88
Ga: 0.1637 0.4694 0.5000  2 Ga 2.74, 6 Hf 2.78-3.02, 2 Nb 2.81-2.88
Nb: 0.6578 0.5280 0.5000  8 Ga 2.80-3.06, 4 Hf 2.99-3.01
Nb: 0.1578 0.4720 0.0000  8 Ga 2.80-3.06, 4 Hf 2.99-3.01

Calculated values
Symmetry: Pmn2_1 (31)
N(E_F): 5.94 states/eV/f.u.
ΔH_f (0 K): -0.37 eV per atom
Spin magnetization: 0.000 μB per atom
Calculated density: 10.43 g cm⁻³

(12)
The following is a PBE-GGA calculation of an optimized crystal structure of LiCaTb2, from the Alexandria database.

abc: 3.4595 3.4595 12.3329
angles: 81.94 81.94 60.00
Closest atoms and distances in Å follow each position.
Atoms (fractional coordinates):
Li: 0.5000 0.5000 0.5000  6 Tb 3.34, 6 Li 3.46
Tb: 0.0932 0.0932 0.7203  3 Li 3.34, 1 Ca 3.40, 6 Tb 3.46
Tb: 0.9068 0.9068 0.2797  3 Li 3.34, 1 Ca 3.40, 6 Tb 3.46
Ca: 0.0000 0.0000 0.0000  2 Tb 3.40, 6 Ca 3.46

Calculated values
Symmetry: R-3m (166)
N(E_F): 4.56 states/eV/f.u.
ΔH_f (0 K): 0.27 eV per atom
Spin magnetization: 0.000 μB per atom
Calculated density: 4.80 g cm⁻³

- Among the records above, which one has the highest calculated density?
  GdThRuAu

- Which value of spin magnetization does entry 5 give?
  0.000 μB per atom